{"formula": "CaW", "functional": "GGA-PBE", "state": "optimized geometry", "energy_ev_per_atom": -6.525, "spacegroup": "P4/mmm, No. 123", "e_above_lowest_polymorph_mev_per_atom": 464, "formation_energy_mev_per_atom": 953, "lattice_angstrom": [[2.811, 0.000, 0.000], [0.000, 2.811, 0.000], [0.000, 0.000, 5.217]], "species": ["Ca", "W"], "fractional_positions": [[0.000, 0.000, 0.000], [0.500, 0.500, 0.500]]}



{"formula": "CaW", "functional": "GGA-PBE", "state": "optimized geometry", "energy_ev_per_atom": -6.406, "spacegroup": "P-6m2, No. 187", "e_above_lowest_polymorph_mev_per_atom": 583, "formation_energy_mev_per_atom": 1072, "lattice_angstrom": [[2.989, 0.000, 0.000], [-1.494, 2.588, 0.000], [0.000, 0.000, 5.363]], "species": ["Ca", "W"], "fractional_positions": [[0.000, 0.000, 0.000], [0.333, 0.667, 0.500]]}



{"formula": "CaW2", "functional": "GGA-PBE", "state": "optimized geometry", "energy_ev_per_atom": -7.564, "spacegroup": "I4/mcm, No. 140", "formation_energy_mev_per_atom": 1738, "lattice_angstrom": [[7.216, 0.000, 0.000], [0.000, 7.216, 0.000], [0.000, 0.000, 4.908]], "species": ["Ca", "Ca", "Ca", "Ca", "W", "W", "W", "W", "W", "W", "W", "W"], "fractional_positions": [[0.000, 0.000, 0.250], [0.000, 0.000, 0.750], [0.500, 0.500, 0.250], [0.500, 0.500, 0.750], [0.116, 0.384, 0.000], [0.116, 0.616, 0.500], [0.384, 0.116, 0.500], [0.384, 0.884, 0.000], [0.616, 0.116, 0.000], [0.616, 0.884, 0.500], [0.884, 0.384, 0.500], [0.884, 0.616, 0.000]]}



{"formula": "CaW2", "functional": "GGA-PBE", "state": "optimized geometry", "energy_ev_per_atom": -8.541, "spacegroup": "Cm, No. 8", "formation_energy_mev_per_atom": 762, "lattice_angstrom": [[11.519, 0.000, 0.000], [0.000, 3.077, 0.000], [-0.271, 0.000, 7.550]], "species": ["Ca", "Ca", "Ca", "Ca", "W", "W", "W", "W", "W", "W", "W", "W"], "fractional_positions": [[0.000, 0.000, 0.000], [0.247, 0.000, 0.700], [0.500, 0.500, 0.000], [0.747, 0.500, 0.700], [0.006, 0.500, 0.619], [0.122, 0.500, 0.346], [0.265, 0.000, 0.184], [0.396, 0.500, 0.391], [0.506, 0.000, 0.619], [0.622, 0.000, 0.346], [0.765, 0.500, 0.184], [0.896, 0.000, 0.391]]}



{"formula": "CaW2", "functional": "GGA-PBE", "state": "optimized geometry", "energy_ev_per_atom": -8.132, "spacegroup": "P6/mmm, No. 191", "formation_energy_mev_per_atom": 1171, "lattice_angstrom": [[4.241, 0.000, 0.000], [-2.120, 3.673, 0.000], [0.000, 0.000, 4.718]], "species": ["Ca", "W", "W"], "fractional_positions": [[0.000, 0.000, 0.000], [0.333, 0.667, 0.500], [0.667, 0.333, 0.500]]}



{"formula": "CaW2", "functional": "GGA-PBE", "state": "optimized geometry", "energy_ev_per_atom": -8.519, "spacegroup": "Cmcm, No. 63", "formation_energy_mev_per_atom": 784, "lattice_angstrom": [[2.743, 0.000, 0.000], [0.000, 19.851, 0.000], [0.000, 0.000, 4.683]], "species": ["Ca", "Ca", "Ca", "Ca", "W", "W", "W", "W", "W", "W", "W", "W"], "fractional_positions": [[0.000, 0.188, 0.250], [0.000, 0.812, 0.750], [0.500, 0.312, 0.750], [0.500, 0.688, 0.250], [0.000, 0.087, 0.750], [0.000, 0.460, 0.750], [0.000, 0.540, 0.250], [0.000, 0.913, 0.250], [0.500, 0.040, 0.250], [0.500, 0.413, 0.250], [0.500, 0.587, 0.750], [0.500, 0.960, 0.750]]}